1.
First-principles (PBE) data for a geometry-optimized Si2TeBr structure, as listed in the Alexandria database.

Results
Calculated volume ... 32.401 A^3/atom
Energy relative to the elements, uncorrected ... 0.05 eV/atom
Energy ... -3.865 eV/atom
Energy above the most stable polymorph in this dataset ... 0.43 eV/f.u.

The structure in CIF format:
```
data_Si2TeBr
_cell_length_a 3.821
_cell_length_b 4.795
_cell_length_c 7.310
_cell_angle_alpha 90.00
_cell_angle_beta 104.63
_cell_angle_gamma 90.00
_symmetry_space_group_name_H-M 'P 1 m 1'
_symmetry_Int_Tables_number 6
_symmetry_space_group_name_Hall 'P -2y'
loop_
_atom_site_label
_atom_site_fract_x
_atom_site_fract_y
_atom_site_fract_z
Si1 0.000 0.000 0.000
Si2 0.026 0.500 0.055
Te1 0.643 0.500 0.298
Br1 0.386 0.000 0.764
```



2.
First-principles (PBE) data for a geometry-optimized Si2TeBr structure, as listed in the Alexandria database.

Results
Calculated volume ... 25.154 A^3/atom
Energy relative to the elements, uncorrected ... 0.60 eV/atom
Energy ... -3.320 eV/atom
Energy above the most stable polymorph in this dataset ... 2.61 eV/f.u.

The structure in CIF format:
```
data_Si2TeBr
_cell_length_a 3.937
_cell_length_b 3.937
_cell_length_c 12.984
_cell_angle_alpha 90.00
_cell_angle_beta 90.00
_cell_angle_gamma 90.00
_symmetry_space_group_name_H-M 'I -4 m 2'
_symmetry_Int_Tables_number 119
_symmetry_space_group_name_Hall 'I -4 -2'
loop_
_atom_site_label
_atom_site_fract_x
_atom_site_fract_y
_atom_site_fract_z
Si1 0.000 0.000 0.000
Si2 0.000 0.500 0.250
Te1 0.000 0.500 0.750
Br1 0.000 0.000 0.500
```



3.
First-principles (PBE) data for a geometry-optimized Si2TeBr structure, as listed in the Alexandria database.

Results
Calculated volume ... 26.526 A^3/atom
Energy relative to the elements, uncorrected ... -0.06 eV/atom
Energy ... -3.973 eV/atom
Energy above the most stable polymorph in this dataset ... 0.00 eV/f.u.

The structure in CIF format:
```
data_Si2TeBr
_cell_length_a 3.483
_cell_length_b 3.483
_cell_length_c 8.745
_cell_angle_alpha 90.00
_cell_angle_beta 90.00
_cell_angle_gamma 90.00
_symmetry_space_group_name_H-M 'P 4 m m'
_symmetry_Int_Tables_number 99
_symmetry_space_group_name_Hall 'P 4 -2'
loop_
_atom_site_label
_atom_site_fract_x
_atom_site_fract_y
_atom_site_fract_z
Si1 0.000 0.000 0.000
Si2 0.500 0.500 0.060
Te1 0.500 0.500 0.347
Br1 0.000 0.000 0.741
```



4.
First-principles (PBE) data for a geometry-optimized SiTe2Br structure, as listed in the Alexandria database.

Results
Calculated volume ... 30.241 A^3/atom
Energy relative to the elements, uncorrected ... 0.30 eV/atom
Energy ... -3.042 eV/atom
Energy above the most stable polymorph in this dataset ... 1.27 eV/f.u.

The structure in CIF format:
```
data_SiTe2Br
_cell_length_a 3.923
_cell_length_b 5.036
_cell_length_c 12.247
_cell_angle_alpha 90.00
_cell_angle_beta 90.00
_cell_angle_gamma 90.00
_symmetry_space_group_name_H-M 'C m m 2'
_symmetry_Int_Tables_number 35
_symmetry_space_group_name_Hall 'C 2 -2'
loop_
_atom_site_label
_atom_site_fract_x
_atom_site_fract_y
_atom_site_fract_z
Si1 0.000 0.000 0.000
Te1 0.000 0.000 0.516
Te2 0.000 0.500 0.197
Br1 0.000 0.500 0.854
```



5.
First-principles (PBE) data for a geometry-optimized SiTeBr3 structure, as listed in the Alexandria database.

Results
Calculated volume ... 30.312 A^3/atom
Energy relative to the elements, uncorrected ... 0.13 eV/atom
Energy ... -2.583 eV/atom
Energy above the most stable polymorph in this dataset ... 0.00 eV/f.u.

The structure in CIF format:
```
data_SiTeBr3
_cell_length_a 5.332
_cell_length_b 5.332
_cell_length_c 5.332
_cell_angle_alpha 90.00
_cell_angle_beta 90.00
_cell_angle_gamma 90.00
_symmetry_space_group_name_H-M 'P m -3 m'
_symmetry_Int_Tables_number 221
_symmetry_space_group_name_Hall '-P 4 2 3'
loop_
_atom_site_label
_atom_site_fract_x
_atom_site_fract_y
_atom_site_fract_z
Si1 0.000 0.000 0.000
Te1 0.500 0.500 0.500
Br1 0.000 0.000 0.500
```



6.
First-principles (PBE) data for a geometry-optimized Si3TeBr structure, as listed in the Alexandria database.

Results
Calculated volume ... 31.864 A^3/atom
Energy relative to the elements, uncorrected ... 1.31 eV/atom
Energy ... -2.909 eV/atom
Energy above the most stable polymorph in this dataset ... 0.00 eV/f.u.

The structure in CIF format:
```
data_Si3TeBr
_cell_length_a 5.421
_cell_length_b 5.421
_cell_length_c 5.421
_cell_angle_alpha 90.00
_cell_angle_beta 90.00
_cell_angle_gamma 90.00
_symmetry_space_group_name_H-M 'P m -3 m'
_symmetry_Int_Tables_number 221
_symmetry_space_group_name_Hall '-P 4 2 3'
loop_
_atom_site_label
_atom_site_fract_x
_atom_site_fract_y
_atom_site_fract_z
Si1 0.000 0.000 0.500
Te1 0.000 0.000 0.000
Br1 0.500 0.500 0.500
```



7.
First-principles (PBE) data for a geometry-optimized SiTeBr4 structure, as listed in the Alexandria database.

Results
Calculated volume ... 27.796 A^3/atom
Energy relative to the elements, uncorrected ... 0.92 eV/atom
Energy ... -1.623 eV/atom

The structure in CIF format:
```
data_SiTeBr4
_cell_length_a 8.738
_cell_length_b 8.738
_cell_length_c 8.738
_cell_angle_alpha 90.00
_cell_angle_beta 90.00
_cell_angle_gamma 90.00
_symmetry_space_group_name_H-M 'F -4 3 m'
_symmetry_Int_Tables_number 216
_symmetry_space_group_name_Hall 'F -4 2 3'
loop_
_atom_site_label
_atom_site_fract_x
_atom_site_fract_y
_atom_site_fract_z
Si1 0.000 0.000 0.000
Te1 0.250 0.250 0.750
Br1 0.125 0.125 0.375
```



8.
First-principles (PBE) data for a geometry-optimized SiTe4Br structure, as listed in the Alexandria database.

Results
Calculated volume ... 33.376 A^3/atom
Energy relative to the elements, uncorrected ... -0.05 eV/atom
Energy ... -3.330 eV/atom
Energy above the most stable polymorph in this dataset ... 0.00 eV/f.u.

The structure in CIF format:
```
data_SiTe4Br
_cell_length_a 11.365
_cell_length_b 10.523
_cell_length_c 7.911
_cell_angle_alpha 90.00
_cell_angle_beta 122.15
_cell_angle_gamma 90.00
_symmetry_space_group_name_H-M 'C 1 2/m 1'
_symmetry_Int_Tables_number 12
_symmetry_space_group_name_Hall '-C 2y'
loop_
_atom_site_label
_atom_site_fract_x
_atom_site_fract_y
_atom_site_fract_z
Si1 0.078 0.000 0.357
Te1 0.000 0.187 0.500
Te2 0.144 0.198 0.152
Te3 0.214 0.000 0.986
Br1 0.172 0.500 0.397
```



9.
First-principles (PBE) data for a geometry-optimized Tl5SiTe4Br2 structure, as listed in the Alexandria database.

Results
Calculated volume ... 38.315 A^3/atom
Energy relative to the elements, uncorrected ... -0.39 eV/atom
Energy ... -3.153 eV/atom

The structure in CIF format:
```
data_Tl5SiTe4Br2
_cell_length_a 9.792
_cell_length_b 10.488
_cell_length_c 8.955
_cell_angle_alpha 90.00
_cell_angle_beta 90.00
_cell_angle_gamma 90.00
_symmetry_space_group_name_H-M 'A m m 2'
_symmetry_Int_Tables_number 38
_symmetry_space_group_name_Hall 'A 2 -2'
loop_
_atom_site_label
_atom_site_fract_x
_atom_site_fract_y
_atom_site_fract_z
Tl1 0.000 0.000 0.000
Tl2 0.254 0.186 0.518
Si1 0.500 0.000 0.935
Te1 0.305 0.000 0.125
Te2 0.500 0.203 0.787
Br1 0.000 0.220 0.776
```



10.
First-principles (PBE) data for a geometry-optimized Y4SiTe2Br structure, as listed in the Alexandria database.

Results
Calculated volume ... 27.606 A^3/atom
Energy relative to the elements, uncorrected ... -1.18 eV/atom
Energy ... -6.084 eV/atom

The structure in CIF format:
```
data_Y4SiTe2Br
_cell_length_a 7.407
_cell_length_b 4.229
_cell_length_c 7.452
_cell_angle_alpha 90.00
_cell_angle_beta 108.88
_cell_angle_gamma 90.00
_symmetry_space_group_name_H-M 'P 1 2/m 1'
_symmetry_Int_Tables_number 10
_symmetry_space_group_name_Hall '-P 2y'
loop_
_atom_site_label
_atom_site_fract_x
_atom_site_fract_y
_atom_site_fract_z
Y1 0.218 0.000 0.218
Y2 0.229 0.500 0.770
Si1 0.000 0.500 0.000
Te1 0.000 0.000 0.500
Te2 0.500 0.500 0.500
Br1 0.500 0.000 0.000
```



11.
First-principles (PBE) data for a geometry-optimized YSiTe2Br structure, as listed in the Alexandria database.

Results
Calculated volume ... 30.481 A^3/atom
Energy relative to the elements, uncorrected ... 0.44 eV/atom
Energy ... -3.526 eV/atom

The structure in CIF format:
```
data_YSiTe2Br
_cell_length_a 5.553
_cell_length_b 5.553
_cell_length_c 4.943
_cell_angle_alpha 90.00
_cell_angle_beta 90.00
_cell_angle_gamma 90.00
_symmetry_space_group_name_H-M 'P 4/m m m'
_symmetry_Int_Tables_number 123
_symmetry_space_group_name_Hall '-P 4 2'
loop_
_atom_site_label
_atom_site_fract_x
_atom_site_fract_y
_atom_site_fract_z
Y1 0.000 0.000 0.000
Si1 0.500 0.500 0.000
Te1 0.000 0.500 0.500
Br1 0.500 0.500 0.500
```



12.
First-principles (PBE) data for a geometry-optimized Y8Si3Te4Br structure, as listed in the Alexandria database.

Results
Calculated volume ... 27.463 A^3/atom
Energy relative to the elements, uncorrected ... -1.19 eV/atom
Energy ... -6.324 eV/atom

The structure in CIF format:
```
data_Y8Si3Te4Br
_cell_length_a 8.4631
_cell_length_b 8.4631
_cell_length_c 21.2518
_cell_angle_alpha 90.00
_cell_angle_beta 90.00
_cell_angle_gamma 120.00
_symmetry_space_group_name_H-M 'R -3 m'
_symmetry_Int_Tables_number 166
_symmetry_space_group_name_Hall '-R 3 2"'
loop_
_atom_site_label
_atom_site_fract_x
_atom_site_fract_y
_atom_site_fract_z
Y1 0.0000 0.0000 0.2393
Y2 0.0190 0.5095 0.7595
Si1 0.0000 0.5000 0.5000
Te1 0.0000 0.0000 0.0000
Te2 0.0000 0.5000 0.0000
Br1 0.0000 0.0000 0.5000
```